VHOs2Se: optimized geometry, PBE.

For the density, the calculation gives 13.443 g cm⁻³. The calculation puts the density of states at the Fermi level at 7.16 states/eV/f.u. For the total energy, the calculation gives -34.75 eV for the cell shown.

The space group is P4/mmm (No. 123) and the conventional cell measures 3.848, 3.848 and 4.267 Å, with angles of 90.00, 90.00 and 90.00 degrees. The asymmetric unit holds V at (0.000, 0.000, 0.000), H at (0.500, 0.500, 0.500), Os at (0.000, 0.500, 0.500) and Se at (0.500, 0.500, 0.000).

=====

NaScSi: optimized geometry, PBE.

For the density, the calculation gives 2.292 g cm⁻³. The formation energy from raw total energies comes out at -239.9 meV/atom. The calculation puts the density of states at the Fermi level at 0.00 states/eV/f.u. For the total energy, the calculation gives -55.17 eV for the cell shown.

The space group is Pnma (No. 62) and the conventional cell measures 7.623, 4.572 and 7.985 Å, with angles of 90.00, 90.00 and 90.00 degrees. The asymmetric unit holds Na at (0.018, 0.250, 0.171), Sc at (0.151, 0.250, 0.581) and Si at (0.205, 0.750, 0.398).

=====

CsOF3: optimized geometry, PBE.

For the density, the calculation gives 3.164 g cm⁻³. The formation energy from raw total energies comes out at -1017.8 meV/atom. For the total energy, the calculation gives -132.12 eV for the cell shown. Its energy above the most stable polymorph in this dataset is 200.8 meV/atom.

The space group is C2/c (No. 15) and the conventional cell measures 11.350, 13.723 and 5.827 Å, with angles of 90.00, 107.76 and 90.00 degrees. The asymmetric unit holds Cs at (0.158, 0.106, 0.162), O at (0.000, 0.230, 0.750), O at (0.000, 0.491, 0.250), F at (0.075, 0.302, 0.652), F at (0.103, 0.428, 0.268) and F at (0.106, 0.105, 0.630).

=====

TbNd2Al9: optimized geometry, PBE.

For the density, the calculation gives 4.692 g cm⁻³. The calculation puts the density of states at the Fermi level at 5.52 states/eV/f.u. For the total energy, the calculation gives -156.46 eV for the cell shown. The energy of formation from the pure elements comes out at -0.359 eV per atom.

The space group is R-3m (No. 166, hexagonal axes) and the conventional cell measures 5.6507, 5.6507 and 26.5033 Å, with angles of 90.00, 90.00 and 120.00 degrees. The asymmetric unit holds Tb at (0.0000, 0.0000, 0.0000), Nd at (0.0000, 0.0000, 0.1417), Al at (0.0000, 0.0000, 0.3352), Al at (0.0000, 0.0000, 0.5000) and Al at (0.0072, 0.5036, 0.9178).

=====

CdHgI2O: optimized geometry, PBE.

For the density, the calculation gives 6.420 g cm⁻³. The formation energy from raw total energies comes out at 149.1 meV/atom. The calculation puts the density of states at the Fermi level at 6.53 states/eV/f.u. For the total energy, the calculation gives -8.53 eV for the cell shown. Its energy above the most stable polymorph in this dataset is 141.5 meV/atom.

The space group is P4/mmm (No. 123) and the conventional cell measures 6.062, 6.062 and 4.102 Å, with angles of 90.00, 90.00 and 90.00 degrees. The asymmetric unit holds Cd at (0.000, 0.000, 0.000), Hg at (0.500, 0.500, 0.500), I at (0.000, 0.500, 0.500) and O at (0.500, 0.500, 0.000).

=====

Y4Tl3: optimized geometry, PBE.

For the density, the calculation gives 8.172 g cm⁻³. The calculation puts the density of states at the Fermi level at 7.48 states/eV/f.u. For the total energy, the calculation gives -211.64 eV for the cell shown. Its energy above the most stable polymorph in this dataset is 0.0 meV/atom. The energy of formation from the pure elements comes out at -0.331 eV per atom.

The space group is R-3 (No. 148, hexagonal axes) and the conventional cell measures 14.2594, 14.2594 and 6.7074 Å, with angles of 90.00, 90.00 and 120.00 degrees. The asymmetric unit holds Y at (0.0000, 0.0000, 0.0000), Y at (0.0000, 0.0000, 0.5000), Y at (0.0532, 0.2533, 0.1782) and Tl at (0.0474, 0.2223, 0.7040).